No. 1
Density functional theory data (PBE-GGA) for crystalline Na2Sr2Zn at its relaxed geometry.

abc: 8.1644 8.1644 5.7109
angles: 90.00 90.00 90.00
Space group P4/mbm (No. 127)
One atom of each set of equivalent atoms:
Na 0.1377 0.3623 0.0000 x4
Sr 0.1814 0.6814 0.5000 x4
Zn 0.0000 0.0000 0.0000 x2

## Properties
- Fermi-level density of states (states/eV per atom) = 0.71
- offset from the most stable computed form (eV/atom) = 0.1865
- formation energy (eV per atom) = 0.1040



No. 2
Density functional theory data (PBE-GGA) for crystalline SbS2I at its relaxed geometry.

abc: 4.2012 4.2012 24.1942
angles: 90.00 90.00 120.00
Space group R-3m (No. 166, hexagonal axes)
One atom of each set of equivalent atoms:
Sb 0.0000 0.0000 0.0000 x3
S 0.0000 0.0000 0.3915 x6
I 0.0000 0.0000 0.5000 x3

## Properties
- Fermi-level density of states (states/eV per atom) = 0.00
- offset from the most stable computed form (eV/atom) = 0.0000



No. 3
Density functional theory data (PBE-GGA) for crystalline K5Rb3Br8 at its relaxed geometry.

abc: 9.6219 9.6219 23.6037
angles: 90.00 90.00 120.00
Space group R-3m (No. 166, hexagonal axes)
One atom of each set of equivalent atoms:
K 0.0000 0.0000 0.0000 x3
K 0.0000 0.0000 0.5000 x3
K 0.0000 0.5000 0.0000 x9
Rb 0.0000 0.5000 0.5000 x9
Br 0.0000 0.0000 0.2541 x6
Br 0.0052 0.5026 0.2526 x18

## Properties
- Fermi-level density of states (states/eV per atom) = 0.00
- uncorrected energy (eV per atom) = -3.1073



No. 4
Density functional theory data (PBE-GGA) for crystalline Sm5ErIn at its relaxed geometry.

abc: 8.5905 11.6651 5.9208
angles: 90.00 90.00 90.00
Space group Imm2 (No. 44)
One atom of each set of equivalent atoms:
Sm 0.0000 0.0000 0.0000 x2
Sm 0.0000 0.2497 0.6070 x4
Sm 0.1714 0.5000 0.2094 x4
Er 0.0000 0.0000 0.4857 x2
In 0.0000 0.5000 0.7277 x2

## Properties
- Fermi-level density of states (states/eV per atom) = 1.30
- formation energy (eV per atom) = 0.7326



No. 5
Density functional theory data (PBE-GGA) for crystalline RbInHg2Rh at its relaxed geometry.

abc: 5.4226 5.4226 5.1423
angles: 90.00 90.00 90.00
Space group P4/mmm (No. 123)
One atom of each set of equivalent atoms:
Rb 0.0000 0.0000 0.0000 x1
In 0.5000 0.5000 0.0000 x1
Hg 0.0000 0.5000 0.5000 x2
Rh 0.5000 0.5000 0.5000 x1

## Properties
- Fermi-level density of states (states/eV per atom) = 0.34
- formation energy (eV per atom) = -0.2063



No. 6
Density functional theory data (PBE-GGA) for crystalline Mg2InAg at its relaxed geometry.

abc: 3.1073 4.8816 13.0348
angles: 90.00 90.00 90.00
Space group Immm (No. 71)
One atom of each set of equivalent atoms:
Mg 0.0000 0.0000 0.2127 x4
In 0.0000 0.0000 0.5000 x2
Ag 0.0000 0.0000 0.0000 x2

## Properties
- Fermi-level density of states (states/eV per atom) = 0.45
- formation energy (eV per atom) = 0.1466



Among the records above, which one has the highest Fermi-level density of states?
Sm5ErIn



Which formula does entry 4 have?
Sm5ErIn



Which value of Fermi-level density of states does entry 4 give?
1.30 states/eV per atom